First-principles (PBE-GGA) data for a relaxed structure of MgTa4Re, as listed in Alexandria.

Computed properties:
As for the energy of formation from the pure elements: 10.7 kcal/mol of atoms. The calculation puts the energy at -9.780 eV/atom. Its crystal system is cubic. The value obtained for the theoretical density is 13.930 g/cm3. As for the symmetry: No. 216.

Cell: 5.4005 5.4005 5.4005 Å, 60.00 60.00 60.00°
With the nearest neighbours (Å) after each atom.
Element x y z (fractional)
Mg 0.0000 0.0000 0.0000  12 Ta 3.17, 4 Re 3.31
Ta 0.3755 0.3755 0.3755  6 Ta 2.69-2.71
Ta 0.3755 0.3755 0.8734  6 Ta 2.69-2.71
Ta 0.3755 0.8734 0.3755  6 Ta 2.69-2.71
Ta 0.8734 0.3755 0.3755  6 Ta 2.69-2.71
Re 0.7500 0.7500 0.7500  12 Ta 3.17, 4 Mg 3.31

=====

First-principles (PBE-GGA) data for a relaxed structure of Mg2TaRe, as listed in Alexandria.

Computed properties:
As for the energy of formation from the pure elements: 2.2 kcal/mol of atoms. The calculation puts the energy at -6.779 eV/atom. Its crystal system is tetragonal. The value obtained for the theoretical density is 9.181 g/cm3. As for the symmetry: No. 99. As for the excess energy over the best structure of this formula in the dataset: 0 meV/atom.

Cell: 3.3130 3.3130 6.8512 Å, 90.00 90.00 90.00°
With the nearest neighbours (Å) after each atom.
Element x y z (fractional)
Mg 0.0000 0.0000 0.0000  8 Mg 3.03-3.31, 4 Ta 3.06, 1 Re 3.18
Mg 0.5000 0.5000 0.2795  4 Re 2.93, 1 Ta 2.97, 4 Mg 3.03
Ta 0.5000 0.5000 0.7137  4 Re 2.64
Re 0.0000 0.0000 0.5364  4 Ta 2.64, 4 Mg 2.93

=====

First-principles (PBE-GGA) data for a relaxed structure of MgTa2Re, as listed in Alexandria.

Computed properties:
As for the energy of formation from the pure elements: 2.1 kcal/mol of atoms. The calculation puts the energy at -9.346 eV/atom. Its crystal system is orthorhombic. The value obtained for the theoretical density is 13.507 g/cm3. As for the symmetry: No. 35.

Cell: 2.8292 2.8292 9.4114 Å, 90.00 90.00 110.92°
With the nearest neighbours (Å) after each atom.
Element x y z (fractional)
Mg 0.0000 0.0000 0.0000  2 Re 2.81, 4 Mg 2.83, 2 Ta 3.04
Ta 0.0000 0.0000 0.5279  2 Re 2.67, 6 Ta 2.83-2.87
Ta 0.5000 0.5000 0.2746  6 Ta 2.83-2.87, 2 Mg 3.04
Re 0.5000 0.5000 0.7551  2 Ta 2.67, 2 Mg 2.81, 4 Re 2.83

=====

First-principles (PBE-GGA) data for a relaxed structure of Mg2TaRe, as listed in Alexandria.

Computed properties:
As for the energy of formation from the pure elements: 8.8 kcal/mol of atoms. The calculation puts the energy at -6.493 eV/atom. Its crystal system is tetragonal. The value obtained for the theoretical density is 9.890 g/cm3. As for the symmetry: No. 123. As for the excess energy over the best structure of this formula in the dataset: 286 meV/atom.

Cell: 2.7357 2.7357 9.3282 Å, 90.00 90.00 90.00°
With the nearest neighbours (Å) after each atom.
Element x y z (fractional)
Mg 0.0000 0.0000 0.2395  4 Mg 2.74, 4 Re 2.96
Mg 0.0000 0.0000 0.7605  4 Mg 2.74, 4 Re 2.96
Ta 0.5000 0.5000 0.5000  4 Ta 2.74
Re 0.5000 0.5000 0.0000  4 Re 2.74, 8 Mg 2.96

=====

First-principles (PBE-GGA) data for a relaxed structure of MgTaRe2, as listed in Alexandria.

Computed properties:
As for the energy of formation from the pure elements: 21.6 kcal/mol of atoms. The calculation puts the energy at -8.650 eV/atom. Its crystal system is tetragonal. The value obtained for the theoretical density is 13.242 g/cm3. As for the symmetry: No. 122.

Cell: 5.8367 5.8367 5.8367 Å, 102.46 102.46 124.63°
With the nearest neighbours (Å) after each atom.
Element x y z (fractional)
Mg 0.0000 0.0000 0.0000  2 Ta 2.71, 4 Re 2.78
Mg 0.7500 0.2500 0.5000  2 Ta 2.71, 4 Re 2.78
Ta 0.2500 0.7500 0.5000  4 Re 2.56, 2 Mg 2.71
Ta 0.5000 0.5000 0.0000  4 Re 2.56, 2 Mg 2.71
Re 0.1469 0.1250 0.5219  2 Ta 2.56, 2 Re 2.73, 2 Mg 2.78
Re 0.3750 0.8531 0.9781  2 Ta 2.56, 2 Re 2.73, 2 Mg 2.78
Re 0.6031 0.6250 0.4781  2 Ta 2.56, 2 Re 2.73, 2 Mg 2.78
Re 0.8750 0.3969 0.0219  2 Ta 2.56, 2 Re 2.73, 2 Mg 2.78

=====

First-principles (PBE-GGA) data for a relaxed structure of Mg2TaRe, as listed in Alexandria.

Computed properties:
As for the energy of formation from the pure elements: 6.5 kcal/mol of atoms. The calculation puts the energy at -6.590 eV/atom. Its crystal system is orthorhombic. The value obtained for the theoretical density is 9.653 g/cm3. As for the symmetry: No. 25. As for the excess energy over the best structure of this formula in the dataset: 189 meV/atom.

Cell: 2.7582 4.3246 5.9960 Å, 90.00 90.00 90.00°
With the nearest neighbours (Å) after each atom.
Element x y z (fractional)
Mg 0.0000 0.0000 0.0000  6 Mg 2.76-2.96, 2 Re 2.94-3.06, 4 Ta 3.07
Mg 0.5000 0.5000 0.2452  6 Mg 2.76-2.96, 1 Ta 2.83, 4 Re 3.02
Ta 0.5000 0.5000 0.7179  2 Ta 2.76, 5 Mg 2.83-3.07, 4 Re 2.85
Re 0.0000 0.0000 0.5103  2 Re 2.76, 4 Ta 2.85, 6 Mg 2.94-3.06

=====

First-principles (PBE-GGA) data for a relaxed structure of MgTa2Re, as listed in Alexandria.

Computed properties:
As for the energy of formation from the pure elements: 5.7 kcal/mol of atoms. The calculation puts the energy at -9.191 eV/atom. Its crystal system is tetragonal. The value obtained for the theoretical density is 13.766 g/cm3. As for the symmetry: No. 119.

Cell: 5.2270 5.2270 5.2270 Å, 135.55 135.55 64.68°
With the nearest neighbours (Å) after each atom.
Element x y z (fractional)
Mg 0.0000 0.0000 0.0000  8 Ta 2.80-2.96, 4 Re 2.96
Ta 0.5000 0.5000 0.0000  4 Mg 2.80, 4 Ta 2.96, 4 Re 2.96
Ta 0.7500 0.2500 0.5000  4 Re 2.80, 4 Ta 2.96, 4 Mg 2.96
Re 0.2500 0.7500 0.5000  8 Ta 2.80-2.96, 4 Mg 2.96

=====

First-principles (PBE-GGA) data for a relaxed structure of MgTaRe2, as listed in Alexandria.

Computed properties:
As for the energy of formation from the pure elements: 7.2 kcal/mol of atoms. The calculation puts the energy at -9.272 eV/atom. Its crystal system is orthorhombic. The value obtained for the theoretical density is 14.603 g/cm3. As for the symmetry: No. 65.

Cell: 5.1823 5.1823 2.6720 Å, 90.00 90.00 113.74°
With the nearest neighbours (Å) after each atom.
Element x y z (fractional)
Mg 0.0000 0.0000 0.0000  2 Mg 2.67, 2 Ta 2.83, 8 Re 2.92
Ta 0.5000 0.5000 0.0000  2 Ta 2.67, 2 Mg 2.83, 8 Re 2.92
Re 0.0000 0.5000 0.5000  4 Re 2.67-2.83, 4 Ta 2.92, 4 Mg 2.92
Re 0.5000 0.0000 0.5000  4 Re 2.67-2.83, 4 Ta 2.92, 4 Mg 2.92